A relaxed CaAl4Pt2Rh crystal. Source: the Alexandria database, functional PBE.

Values from the calculation:
space-group type = R-3m, No. 166
energy relative to the elements = -0.868 eV/atom
DOS(E_F) = 5.4 states/eV/f.u.

Cell: 4.256 4.256 9.408 Å, 76.93 76.93 60.00°
Atoms (fractional coordinates):
Ca 0.000 0.000 0.000
Al 0.407 0.407 0.780
Al 0.865 0.865 0.404
Al 0.135 0.135 0.596
Al 0.593 0.593 0.220
Pt 0.767 0.767 0.699
Pt 0.233 0.233 0.301
Rh 0.500 0.500 0.500